[1]
Computed, not measured: an optimized crystal structure of TcPSe at the GGA-PBE level of DFT.

As for the distance to the lowest polymorph of the same formula: 23 kJ/mol of formula units. For the uncorrected formation energy, the calculation gives -118 meV per atom. The total energy comes out at -19.6 eV per formula unit. The density comes out at 6.84 g/cm3.

It has space group P3m1 (No. 156), with a = 3.2185 Å, b = 3.2185 Å, c = 5.6297 Å, α = 90.00°, β = 90.00° and γ = 120.00°. The inequivalent atoms are Tc at (0.0000, 0.0000, 0.0000), P at (0.6667, 0.3333, 0.2718) and Se at (0.3333, 0.6667, 0.6849).

[2]
Computed, not measured: an optimized crystal structure of Tc2PSe at the GGA-PBE level of DFT.

As for the distance to the lowest polymorph of the same formula: 48 kJ/mol of formula units. For the uncorrected formation energy, the calculation gives -113 meV per atom. The total energy comes out at -30.1 eV per formula unit. The density comes out at 9.05 g/cm3.

It has space group P4/mmm (No. 123), with a = 3.0181 Å, b = 3.0181 Å, c = 6.1603 Å, α = 90.00°, β = 90.00° and γ = 90.00°. The inequivalent atoms are Tc at (0.0000, 0.0000, 0.2272), P at (0.5000, 0.5000, 0.0000) and Se at (0.5000, 0.5000, 0.5000).

[3]
Computed, not measured: an optimized crystal structure of Tc2PSe at the GGA-PBE level of DFT.

As for the distance to the lowest polymorph of the same formula: 89 kJ/mol of formula units. For the uncorrected formation energy, the calculation gives -7 meV per atom. The total energy comes out at -29.7 eV per formula unit. The density comes out at 7.72 g/cm3.

It has space group R3m (No. 160, hexagonal axes), with a = 3.0739 Å, b = 3.0739 Å, c = 24.1394 Å, α = 90.00°, β = 90.00° and γ = 120.00°. The inequivalent atoms are Tc at (0.0000, 0.0000, 0.0000), Tc at (0.0000, 0.0000, 0.2389), P at (0.0000, 0.0000, 0.5092) and Se at (0.0000, 0.0000, 0.7363).

[4]
Computed, not measured: an optimized crystal structure of TcPSe at the GGA-PBE level of DFT.

As for the distance to the lowest polymorph of the same formula: 155 kJ/mol of formula units. For the uncorrected formation energy, the calculation gives 337 meV per atom. The total energy comes out at -18.2 eV per formula unit. The density comes out at 7.11 g/cm3.

It has space group P3m1 (No. 156), with a = 4.4166 Å, b = 4.4166 Å, c = 2.8767 Å, α = 90.00°, β = 90.00° and γ = 120.00°. The inequivalent atoms are Tc at (0.0000, 0.0000, 0.0000), P at (0.3333, 0.6667, 0.1125) and Se at (0.6667, 0.3333, 0.8926).

[5]
Computed, not measured: an optimized crystal structure of TcPSe2 at the GGA-PBE level of DFT.

For the uncorrected formation energy, the calculation gives 680 meV per atom. The total energy comes out at -20.0 eV per formula unit. The density comes out at 7.26 g/cm3.

It has space group Pmmm (No. 47), with a = 3.1447 Å, b = 4.4320 Å, c = 4.7053 Å, α = 90.00°, β = 90.00° and γ = 90.00°. The inequivalent atoms are Tc at (0.0000, 0.0000, 0.0000), P at (0.5000, 0.0000, 0.5000), Se at (0.0000, 0.5000, 0.5000) and Se at (0.5000, 0.5000, 0.0000).

[6]
Computed, not measured: an optimized crystal structure of TcPSe2 at the GGA-PBE level of DFT.

For the uncorrected formation energy, the calculation gives 56 meV per atom. The total energy comes out at -22.5 eV per formula unit. The density comes out at 6.10 g/cm3.

It has space group P4mm (No. 99), with a = 2.9177 Å, b = 2.9177 Å, c = 9.1732 Å, α = 90.00°, β = 90.00° and γ = 90.00°. The inequivalent atoms are Tc at (0.0000, 0.0000, 0.0000), P at (0.5000, 0.5000, 0.1576), Se at (0.0000, 0.0000, 0.4729) and Se at (0.5000, 0.5000, 0.8236).

[7]
Computed, not measured: an optimized crystal structure of Tc2PSe2 at the GGA-PBE level of DFT.

As for the distance to the lowest polymorph of the same formula: 0 kJ/mol of formula units. For the uncorrected formation energy, the calculation gives 409 meV per atom. The total energy comes out at -31.1 eV per formula unit. The density comes out at 7.04 g/cm3.

It has space group I4/mmm (No. 139), with a = 4.3360 Å, b = 4.3360 Å, c = 9.6599 Å, α = 90.00°, β = 90.00° and γ = 90.00°. The inequivalent atoms are Tc at (0.0000, 0.5000, 0.2500), P at (0.0000, 0.0000, 0.0000) and Se at (0.0000, 0.0000, 0.3651).

[8]
Computed, not measured: an optimized crystal structure of Tc2PSe at the GGA-PBE level of DFT.

As for the distance to the lowest polymorph of the same formula: 234 kJ/mol of formula units. For the uncorrected formation energy, the calculation gives 370 meV per atom. The total energy comes out at -28.1 eV per formula unit. The density comes out at 8.62 g/cm3.

It has space group I-4m2 (No. 119), with a = 3.8736 Å, b = 3.8736 Å, c = 7.8528 Å, α = 90.00°, β = 90.00° and γ = 90.00°. The inequivalent atoms are Tc at (0.0000, 0.0000, 0.0000), Tc at (0.0000, 0.5000, 0.2500), P at (0.0000, 0.5000, 0.7500) and Se at (0.0000, 0.0000, 0.5000).

> Number 1 is which compound?

TcPSe

Please write out number 3 again, unchanged.
Computed, not measured: an optimized crystal structure of Tc2PSe at the GGA-PBE level of DFT.

As for the distance to the lowest polymorph of the same formula: 89 kJ/mol of formula units. For the uncorrected formation energy, the calculation gives -7 meV per atom. The total energy comes out at -29.7 eV per formula unit. The density comes out at 7.72 g/cm3.

It has space group R3m (No. 160, hexagonal axes), with a = 3.0739 Å, b = 3.0739 Å, c = 24.1394 Å, α = 90.00°, β = 90.00° and γ = 120.00°. The inequivalent atoms are Tc at (0.0000, 0.0000, 0.0000), Tc at (0.0000, 0.0000, 0.2389), P at (0.0000, 0.0000, 0.5092) and Se at (0.0000, 0.0000, 0.7363).

> Which formula does entry 5 have?

TcPSe2